A plane-wave DFT calculation with GGA-PBE was carried out for a geometry-optimized CrCdRh2 structure.

a = 2.7922 Å, b = 2.7922 Å, c = 26.5111 Å
α = 90.00°, β = 90.00°, γ = 120.00°
With the nearest neighbours (Å) after each atom.
Fractional coordinates of all 12 atoms:
Cr  0.0000  0.0000  0.0000  6 Rh 2.53, 6 Cr 2.79
Cr  0.3333  0.6667  0.6667  6 Rh 2.53, 6 Cr 2.79
Cr  0.6667  0.3333  0.3333  6 Rh 2.53, 6 Cr 2.79
Cd  0.0000  0.0000  0.5000  6 Cd 2.79, 6 Rh 2.94
Cd  0.3333  0.6667  0.1667  6 Cd 2.79, 6 Rh 2.94
Cd  0.6667  0.3333  0.8333  6 Cd 2.79, 6 Rh 2.94
Rh  0.0000  0.0000  0.2596  3 Cr 2.53, 6 Rh 2.79
Rh  0.0000  0.0000  0.7404  3 Cr 2.53, 6 Rh 2.79
Rh  0.3333  0.6667  0.4071  3 Cr 2.53, 6 Rh 2.79
Rh  0.3333  0.6667  0.9263  3 Cr 2.53, 6 Rh 2.79
Rh  0.6667  0.3333  0.0737  3 Cr 2.53, 6 Rh 2.79
Rh  0.6667  0.3333  0.5929  3 Cr 2.53, 6 Rh 2.79

## Properties
Its magnetization is 0.0 Bohr magnetons per cell. The space-group type is R-3m, No. 166. The calculation puts the calculated formation energy at -0.0056 eV/atom. For the total energy, the calculation gives -75.79 eV/cell.

***

A plane-wave DFT calculation with GGA-PBE was carried out for a geometry-optimized CrCd2Rh structure.

a = 3.1277 Å, b = 4.7444 Å, c = 9.4787 Å
α = 90.00°, β = 90.00°, γ = 90.00°
With the nearest neighbours (Å) after each atom.
Fractional coordinates of all 8 atoms:
Cr  0.0000  0.0000  0.0000  2 Rh 2.55
Cr  0.5000  0.5000  0.5000  2 Rh 2.55
Cd  0.0000  0.0000  0.4660  4 Cr 2.86, 2 Rh 2.87, 4 Cd 3.00-3.13
Cd  0.0000  0.5000  0.2358  4 Rh 2.85, 2 Cr 2.95, 4 Cd 3.00-3.13
Cd  0.5000  0.0000  0.7358  4 Rh 2.85, 2 Cr 2.95, 4 Cd 3.00-3.13
Cd  0.5000  0.5000  0.9660  4 Cr 2.86, 2 Rh 2.87, 4 Cd 3.00-3.13
Rh  0.0000  0.5000  0.7127  2 Cr 2.55, 4 Cd 2.85
Rh  0.5000  0.0000  0.2127  2 Cr 2.55, 4 Cd 2.85

## Properties
Its magnetization is 7.3 Bohr magnetons per cell. The space-group type is Imm2, No. 44. The calculation puts the calculated formation energy at 0.1597 eV/atom. For the energy above the most stable polymorph in this dataset, the calculation gives 1.95 kcal/mol of atoms. For the total energy, the calculation gives -36.33 eV/cell.

***

A plane-wave DFT calculation with GGA-PBE was carried out for a geometry-optimized CrCd2Rh structure.

a = 6.5417 Å, b = 6.5417 Å, c = 6.5417 Å
α = 90.00°, β = 90.00°, γ = 90.00°
With the nearest neighbours (Å) after each atom.
Fractional coordinates of all 16 atoms:
Cr  0.0000  0.0000  0.0000  8 Cd 2.83
Cr  0.0000  0.5000  0.5000  8 Cd 2.83
Cr  0.5000  0.0000  0.5000  8 Cd 2.83
Cr  0.5000  0.5000  0.0000  8 Cd 2.83
Cd  0.2500  0.2500  0.2500  4 Cr 2.83, 4 Rh 2.83
Cd  0.2500  0.2500  0.7500  4 Cr 2.83, 4 Rh 2.83
Cd  0.2500  0.7500  0.2500  4 Cr 2.83, 4 Rh 2.83
Cd  0.2500  0.7500  0.7500  4 Cr 2.83, 4 Rh 2.83
Cd  0.7500  0.2500  0.2500  4 Cr 2.83, 4 Rh 2.83
Cd  0.7500  0.2500  0.7500  4 Cr 2.83, 4 Rh 2.83
Cd  0.7500  0.7500  0.2500  4 Cr 2.83, 4 Rh 2.83
Cd  0.7500  0.7500  0.7500  4 Cr 2.83, 4 Rh 2.83
Rh  0.0000  0.0000  0.5000  8 Cd 2.83
Rh  0.0000  0.5000  0.0000  8 Cd 2.83
Rh  0.5000  0.0000  0.0000  8 Cd 2.83
Rh  0.5000  0.5000  0.5000  8 Cd 2.83

## Properties
Its magnetization is 16.6 Bohr magnetons per cell. The space-group type is Fm-3m, No. 225. The calculation puts the calculated formation energy at 0.1306 eV/atom. For the energy above the most stable polymorph in this dataset, the calculation gives 1.28 kcal/mol of atoms. For the total energy, the calculation gives -73.13 eV/cell.

***

A plane-wave DFT calculation with GGA-PBE was carried out for a geometry-optimized CrCd2Rh structure.

a = 6.5347 Å, b = 6.5347 Å, c = 6.5347 Å
α = 90.00°, β = 90.00°, γ = 90.00°
With the nearest neighbours (Å) after each atom.
Fractional coordinates of all 16 atoms:
Cr  0.0000  0.0000  0.0000  4 Cd 2.83, 4 Rh 2.83
Cr  0.0000  0.5000  0.5000  4 Cd 2.83, 4 Rh 2.83
Cr  0.5000  0.0000  0.5000  4 Cd 2.83, 4 Rh 2.83
Cr  0.5000  0.5000  0.0000  4 Cd 2.83, 4 Rh 2.83
Cd  0.0000  0.0000  0.5000  4 Rh 2.83, 4 Cd 2.83
Cd  0.0000  0.5000  0.0000  4 Rh 2.83, 4 Cd 2.83
Cd  0.2500  0.2500  0.2500  4 Cd 2.83, 4 Cr 2.83
Cd  0.2500  0.7500  0.7500  4 Cd 2.83, 4 Cr 2.83
Cd  0.5000  0.0000  0.0000  4 Rh 2.83, 4 Cd 2.83
Cd  0.5000  0.5000  0.5000  4 Rh 2.83, 4 Cd 2.83
Cd  0.7500  0.2500  0.7500  4 Cd 2.83, 4 Cr 2.83
Cd  0.7500  0.7500  0.2500  4 Cd 2.83, 4 Cr 2.83
Rh  0.2500  0.2500  0.7500  4 Cd 2.83, 4 Cr 2.83
Rh  0.2500  0.7500  0.2500  4 Cd 2.83, 4 Cr 2.83
Rh  0.7500  0.2500  0.2500  4 Cd 2.83, 4 Cr 2.83
Rh  0.7500  0.7500  0.7500  4 Cd 2.83, 4 Cr 2.83

## Properties
Its magnetization is 15.5 Bohr magnetons per cell. The space-group type is F-43m, No. 216. The calculation puts the calculated formation energy at 0.1845 eV/atom. For the energy above the most stable polymorph in this dataset, the calculation gives 2.53 kcal/mol of atoms. For the total energy, the calculation gives -72.27 eV/cell.

***

A plane-wave DFT calculation with GGA-PBE was carried out for a geometry-optimized CrCdRh2 structure.

a = 4.1134 Å, b = 4.1134 Å, c = 3.6302 Å
α = 90.00°, β = 90.00°, γ = 90.00°
With the nearest neighbours (Å) after each atom.
Fractional coordinates of all 4 atoms:
Cr  0.0000  0.0000  0.0000  8 Rh 2.74, 4 Cd 2.91
Cd  0.5000  0.5000  0.0000  8 Rh 2.74, 4 Cr 2.91
Rh  0.0000  0.5000  0.5000  4 Cd 2.74, 4 Cr 2.74, 4 Rh 2.91
Rh  0.5000  0.0000  0.5000  4 Cd 2.74, 4 Cr 2.74, 4 Rh 2.91

## Properties
Its magnetization is 2.5 Bohr magnetons per cell. The space-group type is P4/mmm, No. 123. The calculation puts the calculated formation energy at 0.0416 eV/atom. For the total energy, the calculation gives -25.08 eV/cell.

***

A plane-wave DFT calculation with GGA-PBE was carried out for a geometry-optimized CrCd2Rh structure.

a = 2.8337 Å, b = 2.8337 Å, c = 29.2546 Å
α = 90.00°, β = 90.00°, γ = 120.00°
With the nearest neighbours (Å) after each atom.
Fractional coordinates of all 12 atoms:
Cr  0.0000  0.0000  0.0000  3 Rh 2.50
Cr  0.3333  0.6667  0.6667  3 Rh 2.50
Cr  0.6667  0.3333  0.3333  3 Rh 2.50
Cd  0.0000  0.0000  0.2513  6 Cd 2.83, 3 Cr 2.90
Cd  0.0000  0.0000  0.4831  6 Cd 2.83, 3 Rh 2.98
Cd  0.3333  0.6667  0.1497  6 Cd 2.83, 3 Rh 2.98
Cd  0.3333  0.6667  0.9180  6 Cd 2.83, 3 Cr 2.90
Cd  0.6667  0.3333  0.5846  6 Cd 2.83, 3 Cr 2.90
Cd  0.6667  0.3333  0.8164  6 Cd 2.83, 3 Rh 2.98
Rh  0.0000  0.0000  0.7312  3 Cr 2.50
Rh  0.3333  0.6667  0.3978  3 Cr 2.50
Rh  0.6667  0.3333  0.0645  3 Cr 2.50

## Properties
Its magnetization is 0.0 Bohr magnetons per cell. The space-group type is R3m, No. 160. The calculation puts the calculated formation energy at 0.1822 eV/atom. For the energy above the most stable polymorph in this dataset, the calculation gives 2.47 kcal/mol of atoms. For the total energy, the calculation gives -54.23 eV/cell.

***

A plane-wave DFT calculation with GGA-PBE was carried out for a geometry-optimized CrCdRh2 structure.

a = 3.8705 Å, b = 3.8705 Å, c = 8.2010 Å
α = 90.00°, β = 90.00°, γ = 90.00°
With the nearest neighbours (Å) after each atom.
Fractional coordinates of all 8 atoms:
Cr  0.0000  0.0000  0.0000  8 Rh 2.74-2.82, 4 Cd 2.82
Cr  0.5000  0.5000  0.5000  8 Rh 2.74-2.82, 4 Cd 2.82
Cd  0.0000  0.5000  0.2500  8 Rh 2.74-2.82, 4 Cr 2.82
Cd  0.5000  0.0000  0.7500  8 Rh 2.74-2.82, 4 Cr 2.82
Rh  0.0000  0.0000  0.5000  4 Cr 2.74, 4 Cd 2.82, 4 Rh 2.82
Rh  0.0000  0.5000  0.7500  4 Cd 2.74, 4 Cr 2.82, 4 Rh 2.82
Rh  0.5000  0.0000  0.2500  4 Cd 2.74, 4 Cr 2.82, 4 Rh 2.82
Rh  0.5000  0.5000  0.0000  4 Cr 2.74, 4 Cd 2.82, 4 Rh 2.82

## Properties
Its magnetization is 4.3 Bohr magnetons per cell. The space-group type is I-4m2, No. 119. The calculation puts the calculated formation energy at 0.0786 eV/atom. For the total energy, the calculation gives -49.85 eV/cell.

***

Which of these has the highest calculated formation energy? number 4